This record from the Alexandria database describes a relaxed K4S12Br crystal. The functional is PBE-GGA.

Unit cell a=8.940 b=8.940 c=8.940 alpha=109.47 beta=109.47 gamma=109.47
Fractional positions:
K: 0.000 0.000 0.500
K: 0.000 0.500 0.000
K: 0.500 0.000 0.000
K: 0.500 0.500 0.500
S: 0.127 0.533 0.406
S: 0.127 0.721 0.594
S: 0.279 0.406 0.873
S: 0.406 0.127 0.533
S: 0.406 0.873 0.279
S: 0.467 0.594 0.873
S: 0.533 0.406 0.127
S: 0.594 0.127 0.721
S: 0.594 0.873 0.467
S: 0.721 0.594 0.127
S: 0.873 0.279 0.406
S: 0.873 0.467 0.594
Br: 0.000 0.000 0.000

Calculated values
energy relative to the elements, uncorrected: -0.423 eV/atom
symmetry: Im-3 (204)
E: -62.79 eV per cell

---

This record from the Alexandria database describes a relaxed K3SBr crystal. The functional is PBE-GGA.

Unit cell a=5.990 b=5.990 c=5.990 alpha=90.00 beta=90.00 gamma=90.00
Fractional positions:
K: 0.000 0.000 0.500
K: 0.000 0.500 0.000
K: 0.500 0.000 0.000
S: 0.000 0.000 0.000
Br: 0.500 0.500 0.500

Calculated values
energy relative to the elements, uncorrected: -1.210 eV/atom
symmetry: Pm-3m (221)
E: -15.14 eV per cell

---

This record from the Alexandria database describes a relaxed K2SBr5 crystal. The functional is PBE-GGA.

Unit cell a=7.705 b=7.705 c=9.622 alpha=90.00 beta=90.00 gamma=90.00
Fractional positions:
K: 0.000 0.500 0.000
K: 0.000 0.500 0.500
K: 0.500 0.000 0.000
K: 0.500 0.000 0.500
S: 0.000 0.000 0.254
S: 0.500 0.500 0.754
Br: 0.000 0.000 0.542
Br: 0.230 0.230 0.242
Br: 0.230 0.770 0.242
Br: 0.270 0.270 0.742
Br: 0.270 0.730 0.742
Br: 0.500 0.500 0.042
Br: 0.730 0.270 0.742
Br: 0.730 0.730 0.742
Br: 0.770 0.230 0.242
Br: 0.770 0.770 0.242

Calculated values
energy relative to the elements, uncorrected: -0.770 eV/atom
symmetry: I4mm (107)
E: -41.70 eV per cell

---

This record from the Alexandria database describes a relaxed K3SBr6 crystal. The functional is PBE-GGA.

Unit cell a=10.465 b=10.465 c=8.078 alpha=90.00 beta=90.00 gamma=91.64
Fractional positions:
K: 0.070 0.930 0.500
K: 0.131 0.369 0.608
K: 0.369 0.131 0.108
K: 0.631 0.869 0.608
K: 0.869 0.631 0.108
K: 0.930 0.070 0.000
S: 0.319 0.681 0.136
S: 0.681 0.319 0.636
Br: 0.110 0.201 0.286
Br: 0.122 0.625 0.358
Br: 0.201 0.110 0.786
Br: 0.339 0.661 0.842
Br: 0.375 0.878 0.358
Br: 0.459 0.541 0.225
Br: 0.541 0.459 0.725
Br: 0.625 0.122 0.858
Br: 0.661 0.339 0.342
Br: 0.799 0.890 0.286
Br: 0.878 0.375 0.858
Br: 0.890 0.799 0.786

Calculated values
energy relative to the elements, uncorrected: -0.901 eV/atom
symmetry: Cmc2_1 (36)
E: -52.93 eV per cell

---

This record from the Alexandria database describes a relaxed K12S5Br3 crystal. The functional is PBE-GGA.

Unit cell a=16.479 b=16.479 c=16.479 alpha=109.47 beta=109.47 gamma=109.47
Fractional positions:
K: 0.033 0.208 0.118
K: 0.033 0.325 0.915
K: 0.085 0.618 0.410
K: 0.085 0.967 0.675
K: 0.090 0.708 0.675
K: 0.090 0.882 0.415
K: 0.118 0.033 0.208
K: 0.118 0.585 0.910
K: 0.175 0.208 0.590
K: 0.175 0.467 0.585
K: 0.208 0.118 0.033
K: 0.208 0.590 0.175
K: 0.292 0.325 0.910
K: 0.292 0.467 0.382
K: 0.325 0.910 0.292
K: 0.325 0.915 0.033
K: 0.382 0.292 0.467
K: 0.382 0.590 0.915
K: 0.410 0.085 0.618
K: 0.410 0.825 0.792
K: 0.415 0.090 0.882
K: 0.415 0.825 0.533
K: 0.467 0.382 0.292
K: 0.467 0.585 0.175
K: 0.533 0.415 0.825
K: 0.533 0.618 0.708
K: 0.585 0.175 0.467
K: 0.585 0.910 0.118
K: 0.590 0.175 0.208
K: 0.590 0.915 0.382
K: 0.618 0.410 0.085
K: 0.618 0.708 0.533
K: 0.675 0.085 0.967
K: 0.675 0.090 0.708
K: 0.708 0.533 0.618
K: 0.708 0.675 0.090
K: 0.792 0.410 0.825
K: 0.792 0.882 0.967
K: 0.825 0.533 0.415
K: 0.825 0.792 0.410
K: 0.882 0.415 0.090
K: 0.882 0.967 0.792
K: 0.910 0.118 0.585
K: 0.910 0.292 0.325
K: 0.915 0.033 0.325
K: 0.915 0.382 0.590
K: 0.967 0.675 0.085
K: 0.967 0.792 0.882
S: 0.000 0.000 0.000
S: 0.000 0.000 0.500
S: 0.000 0.500 0.000
S: 0.000 0.500 0.500
S: 0.125 0.750 0.875
S: 0.125 0.875 0.250
S: 0.250 0.125 0.875
S: 0.250 0.625 0.375
S: 0.375 0.250 0.625
S: 0.375 0.625 0.750
S: 0.500 0.000 0.000
S: 0.500 0.000 0.500
S: 0.500 0.500 0.000
S: 0.500 0.500 0.500
S: 0.625 0.375 0.250
S: 0.625 0.750 0.375
S: 0.750 0.375 0.625
S: 0.750 0.875 0.125
S: 0.875 0.125 0.750
S: 0.875 0.250 0.125
Br: 0.125 0.250 0.375
Br: 0.125 0.375 0.750
Br: 0.250 0.375 0.125
Br: 0.250 0.875 0.625
Br: 0.375 0.125 0.250
Br: 0.375 0.750 0.125
Br: 0.625 0.250 0.875
Br: 0.625 0.875 0.750
Br: 0.750 0.125 0.375
Br: 0.750 0.625 0.875
Br: 0.875 0.625 0.250
Br: 0.875 0.750 0.625

Calculated values
energy relative to the elements, uncorrected: -1.083 eV/atom
symmetry: Ia-3d (230)
E: -241.92 eV per cell

---

This record from the Alexandria database describes a relaxed K3SBr crystal. The functional is PBE-GGA.

Unit cell a=8.329 b=4.745 c=18.268 alpha=90.00 beta=90.00 gamma=90.00
Fractional positions:
K: 0.014 0.250 0.088
K: 0.129 0.750 0.454
K: 0.145 0.250 0.705
K: 0.355 0.750 0.205
K: 0.371 0.250 0.954
K: 0.486 0.750 0.588
K: 0.514 0.250 0.412
K: 0.629 0.750 0.046
K: 0.645 0.250 0.795
K: 0.855 0.750 0.295
K: 0.871 0.250 0.546
K: 0.986 0.750 0.912
S: 0.238 0.750 0.047
S: 0.262 0.250 0.547
S: 0.738 0.750 0.453
S: 0.762 0.250 0.953
Br: 0.159 0.250 0.299
Br: 0.341 0.750 0.799
Br: 0.659 0.250 0.201
Br: 0.841 0.750 0.701

Calculated values
energy relative to the elements, uncorrected: -1.298 eV/atom
symmetry: Pnma (62)
E: -62.34 eV per cell

---

This record from the Alexandria database describes a relaxed K2SBr4 crystal. The functional is PBE-GGA.

Unit cell a=7.540 b=7.540 c=8.887 alpha=90.00 beta=90.00 gamma=90.00
Fractional positions:
K: 0.000 0.500 0.250
K: 0.000 0.500 0.750
K: 0.500 0.000 0.250
K: 0.500 0.000 0.750
S: 0.000 0.000 0.000
S: 0.500 0.500 0.500
Br: 0.237 0.237 0.000
Br: 0.237 0.763 0.000
Br: 0.263 0.263 0.500
Br: 0.263 0.737 0.500
Br: 0.737 0.263 0.500
Br: 0.737 0.737 0.500
Br: 0.763 0.237 0.000
Br: 0.763 0.763 0.000

Calculated values
energy relative to the elements, uncorrected: -0.955 eV/atom
symmetry: I4/mmm (139)
E: -39.40 eV per cell

---

This record from the Alexandria database describes a relaxed KS8Br2 crystal. The functional is PBE-GGA.

Unit cell a=4.410 b=4.634 c=17.607 alpha=83.57 beta=87.59 gamma=88.96
Fractional positions:
K: 0.000 0.000 0.000
S: 0.072 0.066 0.220
S: 0.279 0.986 0.696
S: 0.404 0.772 0.256
S: 0.493 0.485 0.058
S: 0.507 0.515 0.942
S: 0.596 0.228 0.744
S: 0.721 0.014 0.304
S: 0.928 0.934 0.780
Br: 0.068 0.366 0.559
Br: 0.932 0.634 0.441

Calculated values
energy relative to the elements, uncorrected: -0.107 eV/atom
symmetry: P-1 (2)
E: -38.64 eV per cell

---

no.,total moment (μB per atom)
1,0.040
2,0.000
3,0.125
4,0.107
5,0.068
6,0.010
7,0.000
8,0.093